No. 1
BeRh4Br: relaxed, PBE-GGA.

Cell lengths 7.3148, 7.3148, 7.3148 Å; angles 90.00, 90.00, 90.00 degrees
Last column: nearest neighbours and their distance in Å.
Space group F-43m (No. 216)
Asymmetric unit:
Be (0.0000, 0.0000, 0.0000) (multiplicity 4)  12 Rh 3.03, 4 Br 3.17
Rh (0.1249, 0.1249, 0.3751) (multiplicity 16)  6 Rh 2.58-2.59
Br (0.2500, 0.2500, 0.7500) (multiplicity 4)  12 Rh 3.03, 4 Be 3.17

Computed properties:
- E_form (uncorrected) (eV per atom) = 0.806

---

No. 2
Cr3Br2: relaxed, PBE-GGA.

Cell lengths 11.4863, 12.2871, 6.6383 Å; angles 90.00, 90.00, 90.00 degrees
Last column: nearest neighbours and their distance in Å.
Space group Fdd2 (No. 43)
Asymmetric unit:
Cr (0.0000, 0.0000, 0.0000) (multiplicity 8)  4 Br 2.72-3.04, 2 Cr 2.97
Cr (0.0752, 0.4031, 0.0811) (multiplicity 16)  2 Br 2.66-2.73, 2 Cr 2.94-2.97
Br (0.0782, 0.2646, 0.5303) (multiplicity 16)  3 Cr 2.66-2.73

Computed properties:
- E_form (uncorrected) (eV per atom) = 0.612
- E above lowest polymorph (eV per formula unit) = 0.00

---

No. 3
CsAlCdO3: relaxed, PBE-GGA.

Cell lengths 5.8613, 11.0175, 5.6190 Å; angles 90.00, 90.00, 90.00 degrees
Last column: nearest neighbours and their distance in Å.
Space group Cmcm (No. 63)
Asymmetric unit:
Cs (0.0000, 0.2430, 0.2500) (multiplicity 4)  4 O 2.85-2.95
Al (0.0000, 0.4452, 0.7500) (multiplicity 4)  5 O 1.77-1.97
Cd (0.0000, 0.0822, 0.7500) (multiplicity 4)  5 O 2.23-2.38
O (0.0000, 0.2845, 0.7500) (multiplicity 4)  1 Al 1.77
O (0.2118, 0.5000, 0.0000) (multiplicity 8)  2 Al 1.97

Computed properties:
- E_form (uncorrected) (eV per atom) = -1.830

---

No. 4
SrBeCo2: relaxed, PBE-GGA.

Cell lengths 4.0637, 3.6882, 5.1093 Å; angles 90.00, 102.52, 90.00 degrees
Last column: nearest neighbours and their distance in Å.
Space group P2/m (No. 10)
Asymmetric unit:
Sr (0.0000, 0.0000, 0.0000) (multiplicity 1)  2 Be 2.90, 4 Co 3.18
Be (0.5000, 0.0000, 0.5000) (multiplicity 1)  4 Co 2.16
Co (0.2677, 0.5000, 0.5832) (multiplicity 2)  2 Be 2.16, 2 Co 2.16-2.23

Computed properties:
- uncorrected energy (eV/atom) = -4.495

---

No. 5
YB3Ir3: relaxed, PBE-GGA.

Cell lengths 7.4760, 7.4760, 7.4760 Å; angles 90.00, 90.00, 90.00 degrees
Last column: nearest neighbours and their distance in Å.
Space group P2_13 (No. 198)
Asymmetric unit:
Y (0.0015, 0.4985, 0.5015) (multiplicity 4)  6 B 2.68-2.75, 1 Ir 3.00
B (0.0084, 0.8077, 0.6835) (multiplicity 12)  3 Ir 2.00-2.07
Ir (0.0510, 0.9490, 0.4490) (multiplicity 4)  3 B 2.07
Ir (0.2302, 0.2302, 0.2302) (multiplicity 4)  3 B 2.01
Ir (0.2443, 0.2557, 0.7443) (multiplicity 4)  3 B 2.00

Computed properties:
- E above lowest polymorph (eV per formula unit) = 0.41

---

No. 6
Tl2InRe: relaxed, PBE-GGA.

Cell lengths 7.1909, 7.1909, 7.1909 Å; angles 90.00, 90.00, 90.00 degrees
Last column: nearest neighbours and their distance in Å.
Space group F-43m (No. 216)
Asymmetric unit:
Tl (0.0000, 0.0000, 0.0000) (multiplicity 4)  4 Re 3.11, 4 Tl 3.11
Tl (0.2500, 0.2500, 0.2500) (multiplicity 4)  4 Tl 3.11, 4 In 3.11
In (0.0000, 0.0000, 0.5000) (multiplicity 4)  4 Tl 3.11, 4 Re 3.11
Re (0.2500, 0.2500, 0.7500) (multiplicity 4)  4 In 3.11, 4 Tl 3.11

Computed properties:
- E above lowest polymorph (eV per formula unit) = 1.98

---

No. 7
Sr2TaTl3S6: relaxed, PBE-GGA.

Cell lengths 7.2048, 12.3942, 7.6276 Å; angles 90.00, 107.74, 90.00 degrees
Last column: nearest neighbours and their distance in Å.
Space group C2/m (No. 12)
Asymmetric unit:
Sr (0.0000, 0.1665, 0.0000) (multiplicity 4)  6 S 2.96-3.01
Ta (0.0000, 0.5000, 0.0000) (multiplicity 2)  6 S 2.48-2.53
Tl (0.0000, 0.0000, 0.5000) (multiplicity 2)  6 S 3.14-3.46
Tl (0.0000, 0.3339, 0.5000) (multiplicity 4)  4 S 3.08-3.13
S (0.2073, 0.3593, 0.1970) (multiplicity 8)  1 Ta 2.48
S (0.2143, 0.5000, 0.7912) (multiplicity 4)  1 Ta 2.53

Computed properties:
- E_form (uncorrected) (eV per atom) = -1.129

---

No. 8
NaSn3Ge3: relaxed, PBE-GGA.

Cell lengths 7.6649, 7.6649, 7.6649 Å; angles 90.00, 90.00, 90.00 degrees
Last column: nearest neighbours and their distance in Å.
Space group Pm-3n (No. 223)
Asymmetric unit:
Na (0.0000, 0.0000, 0.0000) (multiplicity 2)  12 Ge 4.28, 12 Sn 4.28
Sn (0.0000, 0.2500, 0.5000) (multiplicity 6)  4 Ge 2.71
Ge (0.0000, 0.5000, 0.2500) (multiplicity 6)  4 Sn 2.71

Computed properties:
- uncorrected energy (eV/atom) = -3.771

---

Number 1: total magnetization 1.8 μB/f.u.. Number 2: total magnetization 14.0 μB/f.u.. Number 3: total magnetization 0.0 μB/f.u.. Number 4: total magnetization 1.5 μB/f.u.. Number 5: total magnetization 0.0 μB/f.u.. Number 6: total magnetization 1.7 μB/f.u.. Number 7: total magnetization 0.0 μB/f.u.. Number 8: total magnetization 0.0 μB/f.u..